12
Lattice="-2.8053 -4.7644 -1.2486 -0.6500 -0.8191 4.5858 -4.3883 2.5708 0.0498" Properties=species:S:1:pos:R:3 comment="LiFeF4 PBE with a Hubbard U optimized geometry" spacegroup="P2/c (13)" e_above_lowest_polymorph_mev_per_atom=8.9 pbc="T T T"
Fe -1.5599 -0.1434 -0.1936
Fe -5.6336 -2.0503 -1.0053
Li -3.2155 -2.8128 1.5071
Li -4.6280 -0.1999 1.8799
F -4.5056 -1.6693 0.4518
F -3.3379 -1.3434 2.9352
F -2.9574 0.7674 0.8969
F -4.8862 -3.7801 2.4900
F -6.2244 -1.2339 2.6519
F -1.6191 -1.7788 0.7351
F -2.9538 -4.2384 -0.1029
F -4.8898 1.2256 3.4899